1.
Material: LiHfZnAu
Method: DFT, PBE
State: relaxed

symmetry: F-43m
VASP energy: -4.449 eV per atom
crystal system: cubic

Cell: 4.583 4.583 4.583 Å, 60.00 60.00 60.00°
Fractional coordinates of all 4 atoms:
1 Hf 0.750 0.750 0.750
2 Zn 0.000 0.000 0.000
3 Au 0.500 0.500 0.500
4 Li 0.250 0.250 0.250


2.
Material: NiAu2C
Method: DFT, PBE
State: relaxed

symmetry: I-42d
VASP energy: -4.585 eV per atom
crystal system: tetragonal

Cell: 8.145 8.145 6.048 Å, 47.67 47.67 90.00°
Fractional coordinates of all 8 atoms:
1 Ni 0.000 0.000 0.000
2 Ni 0.750 0.250 0.500
3 C 0.500 0.500 0.000
4 C 0.250 0.750 0.500
5 Au 0.485 0.125 0.250
6 Au 0.265 0.625 0.250
7 Au 0.375 0.515 0.750
8 Au 0.875 0.735 0.750


3.
Material: Ba2B6H4O13
Method: DFT, PBE
State: relaxed

symmetry: P2_1
VASP energy: -7.144 eV per atom
crystal system: monoclinic

Cell: 6.934 8.608 8.811 Å, 90.00 90.00 100.91°
Fractional coordinates of all 50 atoms:
1 Ba 0.806 0.716 0.431
2 Ba 0.194 0.284 0.931
3 Ba 0.755 0.235 0.574
4 Ba 0.245 0.765 0.074
5 B 0.545 0.548 0.724
6 B 0.455 0.452 0.224
7 B 0.357 0.411 0.500
8 B 0.643 0.589 0.000
9 B 0.097 0.366 0.297
10 B 0.903 0.634 0.797
11 B 0.074 0.059 0.288
12 B 0.926 0.941 0.788
13 B 0.861 0.949 0.068
14 B 0.139 0.051 0.568
15 B 0.634 0.035 0.898
16 B 0.366 0.965 0.398
17 H 0.564 0.791 0.703
18 H 0.436 0.209 0.203
19 H 0.817 0.392 0.235
20 H 0.183 0.608 0.735
21 H 0.674 0.260 0.981
22 H 0.326 0.740 0.481
23 H 0.381 0.004 0.774
24 H 0.619 0.996 0.274
25 O 0.494 0.692 0.652
26 O 0.506 0.308 0.152
27 O 0.751 0.533 0.702
28 O 0.249 0.467 0.202
29 O 0.411 0.411 0.653
30 O 0.589 0.589 0.153
31 O 0.502 0.454 0.392
32 O 0.498 0.546 0.892
33 O 0.164 0.363 0.459
34 O 0.836 0.637 0.959
35 O 0.918 0.439 0.309
36 O 0.082 0.561 0.809
37 O 0.043 0.208 0.228
38 O 0.957 0.792 0.728
39 O 0.009 0.036 0.449
40 O 0.991 0.964 0.949
41 O 0.939 0.924 0.208
42 O 0.061 0.076 0.708
43 O 0.668 0.960 0.049
44 O 0.332 0.040 0.549
45 O 0.719 0.960 0.772
46 O 0.281 0.040 0.272
47 O 0.419 0.015 0.881
48 O 0.581 0.985 0.381
49 O 0.732 0.206 0.899
50 O 0.268 0.794 0.399